1.
# CdGe2Rh, optimized geometry, DFT GGA-PBE
data_CdGe2Rh
_chemical_formula_sum 'Cd3 Ge6 Rh3'
_space_group_name_H-M_alt 'R 3 m'
_space_group_IT_number 160
_space_group_name_Hall 'R 3 -2"'
_cell_length_a 4.2646
_cell_length_b 4.2646
_cell_length_c 14.3037
_cell_angle_alpha 90.00
_cell_angle_beta 90.00
_cell_angle_gamma 120.00
loop_
_atom_site_label
_atom_site_type_symbol
_atom_site_fract_x
_atom_site_fract_y
_atom_site_fract_z
Cd1 Cd 0.0000 0.0000 0.0000
Ge1 Ge 0.0000 0.0000 0.2175
Ge2 Ge 0.0000 0.0000 0.4376
Rh1 Rh 0.0000 0.0000 0.8068
# VASP energy (eV per cell): -53.89
# Calculated formation energy (eV/f.u.): -0.46

=====

2.
# CdGeRh3, optimized geometry, DFT GGA-PBE
data_CdGeRh3
_chemical_formula_sum 'Cd1 Ge1 Rh3'
_space_group_name_H-M_alt 'P m -3 m'
_space_group_IT_number 221
_space_group_name_Hall '-P 4 2 3'
_cell_length_a 4.841
_cell_length_b 4.841
_cell_length_c 4.841
_cell_angle_alpha 90.00
_cell_angle_beta 90.00
_cell_angle_gamma 90.00
loop_
_atom_site_label
_atom_site_type_symbol
_atom_site_fract_x
_atom_site_fract_y
_atom_site_fract_z
Cd1 Cd 0.000 0.000 0.000
Ge1 Ge 0.500 0.500 0.500
Rh1 Rh 0.000 0.000 0.500
# VASP energy (eV per cell): -19.83
# Calculated formation energy (eV/f.u.): 7.75
# Energy above the lowest structure with this stoichiometry (meV per atom): 1260

=====

3.
# CdGeRh, optimized geometry, DFT GGA-PBE
data_CdGeRh
_chemical_formula_sum 'Cd1 Ge1 Rh1'
_space_group_name_H-M_alt 'P -6 m 2'
_space_group_IT_number 187
_space_group_name_Hall 'P -6 2'
_cell_length_a 4.2753
_cell_length_b 4.2753
_cell_length_c 3.3185
_cell_angle_alpha 90.00
_cell_angle_beta 90.00
_cell_angle_gamma 120.00
loop_
_atom_site_label
_atom_site_type_symbol
_atom_site_fract_x
_atom_site_fract_y
_atom_site_fract_z
Cd1 Cd 0.0000 0.0000 0.0000
Ge1 Ge 0.3333 0.6667 0.5000
Rh1 Rh 0.6667 0.3333 0.5000
# VASP energy (eV per cell): -13.43
# Calculated formation energy (eV/f.u.): -0.55